This record from Alexandria via LeMat-Bulk describes Sr3Li5N2 after structural relaxation. The functional is GGA-PBE.

## Properties
Density of states at the Fermi level, states/eV/f.u.: 5.943
Symmetry: Ibam
Uncorrected formation energy, eV per atom: -0.226

Cell and atoms, written as POSCAR:
```
Sr3Li5N2
1.0
-4.042 8.315 3.610
4.042 -8.315 3.610
4.042 8.315 -3.610
Sr Li N
6 10 4
Direct
0.159 0.692 0.851
0.250 0.250 0.000
0.341 0.192 0.532
0.659 0.808 0.468
0.750 0.750 0.000
0.841 0.308 0.149
0.076 0.250 0.826
0.122 0.225 0.347
0.250 0.750 0.500
0.378 0.725 0.104
0.424 0.250 0.174
0.576 0.750 0.826
0.622 0.275 0.896
0.750 0.250 0.500
0.878 0.775 0.653
0.924 0.750 0.174
0.121 0.982 0.103
0.379 0.482 0.861
0.621 0.518 0.139
0.879 0.018 0.897
```

This record from Alexandria via LeMat-Bulk describes Li2PuPb2O6 after structural relaxation. The functional is GGA-PBE.

## Properties
Density of states at the Fermi level, states/eV/f.u.: 5.940
Symmetry: R-3m
Uncorrected formation energy, eV per atom: -1.803

Cell and atoms, written as POSCAR:
```
Li2PuPb2O6
1.0
3.002 1.733 5.289
-3.002 1.733 5.289
0.000 -3.467 5.289
Li Pu Pb O
2 1 2 6
Direct
0.085 0.085 0.085
0.915 0.915 0.915
0.500 0.500 0.500
0.297 0.297 0.297
0.703 0.703 0.703
0.262 0.262 0.721
0.262 0.721 0.262
0.279 0.738 0.738
0.721 0.262 0.262
0.738 0.279 0.738
0.738 0.738 0.279
```

This record from Alexandria via LeMat-Bulk describes HoZnRh after structural relaxation. The functional is GGA-PBE.

## Properties
Energy of formation, eV/atom: -0.6200
Density of states at the Fermi level, states/eV/f.u.: 2.088
Symmetry: P-6m2

Cell and atoms, written as POSCAR:
```
HoZnRh
1.0
4.364 0.000 0.000
-2.182 3.779 0.000
0.000 0.000 3.521
Ho Zn Rh
1 1 1
Direct
0.000 0.000 0.000
0.333 0.667 0.500
0.667 0.333 0.500
```

This record from Alexandria via LeMat-Bulk describes La4AlAu after structural relaxation. The functional is GGA-PBE.

## Properties
Distance to the lowest polymorph of the same formula, meV/atom: 631
Energy of formation, eV/atom: 0.2467
Density of states at the Fermi level, states/eV/f.u.: 8.047
Symmetry: F-43m

Cell and atoms, written as POSCAR:
```
La4AlAu
1.0
0.000 4.507 4.507
4.507 0.000 4.507
4.507 4.507 0.000
La Al Au
4 1 1
Direct
0.124 0.124 0.124
0.124 0.124 0.628
0.124 0.628 0.124
0.628 0.124 0.124
0.750 0.750 0.750
0.500 0.500 0.500
```

This record from Alexandria via LeMat-Bulk describes AcMg2Ge2Pd7 after structural relaxation. The functional is GGA-PBE.

## Properties
Energy of formation, eV/atom: -0.5328
Density of states at the Fermi level, states/eV/f.u.: 4.983
Symmetry: C2/m

Cell and atoms, written as POSCAR:
```
AcMg2Ge2Pd7
1.0
3.024 -2.962 0.000
3.024 2.962 0.000
-0.019 0.000 12.125
Ac Mg Ge Pd
1 2 2 7
Direct
0.000 0.000 0.000
0.001 0.001 0.663
0.999 0.999 0.337
0.500 0.500 0.313
0.500 0.500 0.687
0.001 0.501 0.811
0.279 0.279 0.500
0.499 0.999 0.189
0.500 0.500 0.000
0.501 0.001 0.811
0.721 0.721 0.500
0.999 0.499 0.189
```

This record from Alexandria via LeMat-Bulk describes CsBa2MnCl8 after structural relaxation. The functional is GGA-PBE.

## Properties
Symmetry: P-1
Uncorrected formation energy, eV per atom: -1.874

Cell and atoms, written as POSCAR:
```
CsBa2MnCl8
1.0
5.853 0.000 0.000
2.646 6.810 0.000
0.181 -0.022 9.724
Cs Ba Mn Cl
1 2 1 8
Direct
0.000 0.000 0.000
0.423 0.459 0.254
0.577 0.541 0.746
0.000 0.000 0.500
0.009 0.273 0.303
0.081 0.175 0.675
0.402 0.301 0.964
0.407 0.802 0.475
0.593 0.198 0.525
0.598 0.699 0.036
0.919 0.825 0.325
0.991 0.727 0.697
```